# KHo2AgBr8

KHo2AgBr8 after structural relaxation (PBE, the Alexandria database).

## Properties
Its energy relative to the elements, uncorrected is -1.56 eV/atom. Its size of the total moment is 0.000 μB/f.u.

```
data_KHo2AgBr8
_chemical_formula_sum 'K1 Ho2 Ag1 Br8'
_space_group_name_H-M_alt 'P 1 2/m 1'
_space_group_IT_number 10
_cell_length_a 6.9949
_cell_length_b 8.5321
_cell_length_c 7.2378
_cell_angle_alpha 90.00
_cell_angle_beta 96.90
_cell_angle_gamma 90.00
loop_
_space_group_symop_operation_xyz
'x,y,z'
'-x,-y,-z'
'-x,y,-z'
'x,-y,z'
loop_
_atom_site_label
_atom_site_type_symbol
_atom_site_fract_x
_atom_site_fract_y
_atom_site_fract_z
K1 K 0.0000 0.0000 0.0000
Ho1 Ho 0.5000 0.2573 0.5000
Ag1 Ag 0.0000 0.5000 0.0000
Br1 Br 0.2632 0.2746 0.1672
Br2 Br 0.2772 0.5000 0.6338
Br3 Br 0.2877 0.0000 0.6283
```

# KHoAg2Br6

KHoAg2Br6 after structural relaxation (PBE, the Alexandria database).

## Properties
Its energy relative to the elements, uncorrected is -1.21 eV/atom. Its size of the total moment is 0.000 μB/f.u.

```
data_KHoAg2Br6
_chemical_formula_sum 'K3 Ho3 Ag6 Br18'
_space_group_name_H-M_alt 'R 3'
_space_group_IT_number 146
_space_group_name_Hall 'R 3'
_cell_length_a 7.4079
_cell_length_b 7.4079
_cell_length_c 20.3925
_cell_angle_alpha 90.00
_cell_angle_beta 90.00
_cell_angle_gamma 120.00
loop_
_atom_site_label
_atom_site_type_symbol
_atom_site_fract_x
_atom_site_fract_y
_atom_site_fract_z
K1 K 0.0000 0.0000 0.0000
Ho1 Ho 0.0000 0.0000 0.4833
Ag1 Ag 0.0000 0.0000 0.2944
Ag2 Ag 0.0000 0.0000 0.8103
Br1 Br 0.0090 0.3405 0.2222
Br2 Br 0.0154 0.6103 0.0633
```